Record 1
## CsRbZn2Te (PBE)

Data for a relaxed structure of CsRbZn2Te.

Computed properties:
The final energy is -1.403 eV/atom. As for the energy relative to the elements, uncorrected: 0.099 eV per atom. Its total moment is 0.00 μB/cell. The value obtained for the theoretical density is 3.11 g/cm3.

Lattice parameters (Å, degrees): 6.212 6.212 6.598 90.00 90.00 90.00
Fractional positions:
Cs 0.000 0.000 0.000
Rb 0.500 0.500 0.000
Zn 0.000 0.500 0.500
Zn 0.500 0.000 0.500
Te 0.500 0.500 0.500

***

Record 2
## CsRbZrTe3 (PBE)

Data for a relaxed structure of CsRbZrTe3.

Computed properties:
The final energy is -4.146 eV/atom. As for the energy relative to the elements, uncorrected: -0.847 eV per atom. Its total moment is 0.00 μB/cell. The value obtained for the theoretical density is 4.17 g/cm3.

Lattice parameters (Å, degrees): 7.745 7.745 10.083 104.99 104.99 74.47
Fractional positions:
Cs 0.165 0.165 0.174
Cs 0.835 0.835 0.826
Rb 0.258 0.742 0.500
Rb 0.742 0.258 0.500
Zr 0.417 0.417 0.855
Zr 0.583 0.583 0.145
Te 0.209 0.621 0.121
Te 0.263 0.263 0.592
Te 0.379 0.791 0.879
Te 0.621 0.209 0.121
Te 0.737 0.737 0.408
Te 0.791 0.379 0.879

***

Record 3
## CsRb2Ti (PBE)

Data for a relaxed structure of CsRb2Ti.

Computed properties:
The final energy is -1.771 eV/atom. Its total moment is 3.36 μB/cell. The value obtained for the theoretical density is 2.50 g/cm3.

Lattice parameters (Å, degrees): 6.913 6.913 6.913 60.00 60.00 60.00
Fractional positions:
Cs 0.000 0.000 0.000
Rb 0.250 0.250 0.250
Rb 0.750 0.750 0.750
Ti 0.500 0.500 0.500

***

Record 4
## CsRbTi2 (PBE)

Data for a relaxed structure of CsRbTi2.

Computed properties:
Its excess energy over the best structure of this formula in the dataset is 163 meV per atom. The final energy is -2.681 eV/atom. Its total moment is 6.19 μB/cell. The value obtained for the theoretical density is 3.01 g/cm3.

Lattice parameters (Å, degrees): 6.257 6.257 6.257 60.00 60.00 60.00
Fractional positions:
Cs 0.000 0.000 0.000
Rb 0.500 0.500 0.500
Ti 0.250 0.250 0.250
Ti 0.750 0.750 0.750

***

Record 5
## CsRbTi2 (PBE)

Data for a relaxed structure of CsRbTi2.

Computed properties:
Its excess energy over the best structure of this formula in the dataset is 0 meV per atom. The final energy is -2.845 eV/atom. Its total moment is 4.97 μB/cell. The value obtained for the theoretical density is 3.18 g/cm3.

Lattice parameters (Å, degrees): 13.503 13.503 13.503 158.58 158.58 30.47
Fractional positions:
Cs 0.375 0.625 0.750
Cs 0.625 0.375 0.250
Rb 0.125 0.875 0.250
Rb 0.875 0.125 0.750
Ti 0.000 0.500 0.500
Ti 0.500 0.000 0.000
Ti 0.500 0.500 0.000
Ti 0.500 0.500 0.500

***

Record 6
## Cs2RbTi (PBE)

Data for a relaxed structure of Cs2RbTi.

Computed properties:
The final energy is -1.741 eV/atom. Its total moment is 3.23 μB/cell. The value obtained for the theoretical density is 2.53 g/cm3.

Lattice parameters (Å, degrees): 7.187 7.187 7.187 60.00 60.00 60.00
Fractional positions:
Cs 0.250 0.250 0.250
Cs 0.750 0.750 0.750
Rb 0.000 0.000 0.000
Ti 0.500 0.500 0.500

***

Record 7
## Cs3RbTi (PBE)

Data for a relaxed structure of Cs3RbTi.

Computed properties:
The final energy is -1.560 eV/atom. Its total moment is 3.99 μB/cell. The value obtained for the theoretical density is 1.99 g/cm3.

Lattice parameters (Å, degrees): 7.626 7.626 7.626 90.00 90.00 90.00
Fractional positions:
Cs 0.000 0.000 0.500
Cs 0.000 0.500 0.000
Cs 0.500 0.000 0.000
Rb 0.500 0.500 0.500
Ti 0.000 0.000 0.000

***

Record 8
## CsRbTi3 (PBE)

Data for a relaxed structure of CsRbTi3.

Computed properties:
The final energy is -2.962 eV/atom. Its total moment is 2.46 μB/cell. The value obtained for the theoretical density is 4.02 g/cm3.

Lattice parameters (Å, degrees): 5.306 5.306 5.306 90.00 90.00 90.00
Fractional positions:
Cs 0.000 0.000 0.000
Rb 0.500 0.500 0.500
Ti 0.000 0.000 0.500
Ti 0.000 0.500 0.000
Ti 0.500 0.000 0.000

***

Record 9
## CsRb2TiV (PBE)

Data for a relaxed structure of CsRb2TiV.

Computed properties:
The final energy is -2.367 eV/atom. Its total moment is 8.00 μB/cell. The value obtained for the theoretical density is 2.27 g/cm3.

Lattice parameters (Å, degrees): 6.789 6.789 6.393 90.00 90.00 90.00
Fractional positions:
Cs 0.000 0.000 0.000
Rb 0.000 0.500 0.500
Rb 0.500 0.000 0.500
Ti 0.500 0.500 0.000
V 0.000 0.000 0.500

***

Record 10
## CsRbTl3 (PBE)

Data for a relaxed structure of CsRbTl3.

Computed properties:
Its excess energy over the best structure of this formula in the dataset is 0 meV per atom. The final energy is -1.870 eV/atom. Its total moment is 0.00 μB/cell. The value obtained for the theoretical density is 6.23 g/cm3.

Lattice parameters (Å, degrees): 9.529 10.467 10.159 90.00 119.00 90.00
Fractional positions:
Cs 0.224 0.007 0.072
Cs 0.224 0.493 0.572
Cs 0.776 0.507 0.428
Cs 0.776 0.993 0.928
Rb 0.493 0.719 0.995
Rb 0.493 0.781 0.495
Rb 0.507 0.219 0.505
Rb 0.507 0.281 0.005
Tl 0.047 0.651 0.878
Tl 0.047 0.849 0.378
Tl 0.048 0.144 0.371
Tl 0.048 0.356 0.871
Tl 0.292 0.002 0.697
Tl 0.292 0.498 0.197
Tl 0.708 0.502 0.803
Tl 0.708 0.998 0.303
Tl 0.952 0.644 0.129
Tl 0.952 0.856 0.629
Tl 0.953 0.151 0.622
Tl 0.953 0.349 0.122

***

Record 11
## CsRbTl17 (PBE)

Data for a relaxed structure of CsRbTl17.

Computed properties:
The final energy is -2.242 eV/atom. Its total moment is 0.00 μB/cell. The value obtained for the theoretical density is 9.38 g/cm3.

Lattice parameters (Å, degrees): 8.760 8.760 8.760 81.81 81.81 81.81
Fractional positions:
Cs 0.000 0.000 0.000
Rb 0.675 0.675 0.675
Tl 0.048 0.341 0.630
Tl 0.048 0.630 0.341
Tl 0.201 0.692 0.692
Tl 0.243 0.243 0.243
Tl 0.334 0.334 0.847
Tl 0.334 0.847 0.334
Tl 0.341 0.048 0.630
Tl 0.341 0.630 0.048
Tl 0.438 0.438 0.438
Tl 0.497 0.978 0.978
Tl 0.630 0.048 0.341
Tl 0.630 0.341 0.048
Tl 0.692 0.201 0.692
Tl 0.692 0.692 0.201
Tl 0.847 0.334 0.334
Tl 0.978 0.497 0.978
Tl 0.978 0.978 0.497

***

Record 12
## CsRb2Tl6 (PBE)

Data for a relaxed structure of CsRb2Tl6.

Computed properties:
The final energy is -1.882 eV/atom. Its total moment is 0.00 μB/cell. The value obtained for the theoretical density is 5.88 g/cm3.

Lattice parameters (Å, degrees): 8.485 8.485 8.485 60.00 60.00 60.00
Fractional positions:
Cs 0.000 0.000 0.000
Rb 0.250 0.250 0.250
Rb 0.750 0.750 0.750
Tl 0.313 0.313 0.687
Tl 0.313 0.687 0.313
Tl 0.313 0.687 0.687
Tl 0.687 0.313 0.313
Tl 0.687 0.313 0.687
Tl 0.687 0.687 0.313

***

Record 13
## CsRb2Tl9 (PBE)

Data for a relaxed structure of CsRb2Tl9.

Computed properties:
The final energy is -2.073 eV/atom. Its total moment is 0.00 μB/cell. The value obtained for the theoretical density is 7.98 g/cm3.

Lattice parameters (Å, degrees): 11.570 11.570 11.570 34.61 34.61 34.61
Fractional positions:
Cs 0.000 0.000 0.000
Rb 0.143 0.143 0.143
Rb 0.857 0.857 0.857
Tl 0.079 0.585 0.585
Tl 0.335 0.335 0.335
Tl 0.415 0.415 0.921
Tl 0.415 0.921 0.415
Tl 0.500 0.500 0.500
Tl 0.585 0.079 0.585
Tl 0.585 0.585 0.079
Tl 0.665 0.665 0.665
Tl 0.921 0.415 0.415

***

Record 14
## Cs2Rb8Tl (PBE)

Data for a relaxed structure of Cs2Rb8Tl.

Computed properties:
The final energy is -1.058 eV/atom. Its total moment is 0.00 μB/cell. The value obtained for the theoretical density is 2.07 g/cm3.

Lattice parameters (Å, degrees): 13.250 13.250 9.677 94.11 94.11 33.04
Fractional positions:
Cs 0.171 0.171 0.132
Cs 0.829 0.829 0.868
Rb 0.019 0.019 0.776
Rb 0.215 0.215 0.625
Rb 0.369 0.369 0.161
Rb 0.420 0.420 0.641
Rb 0.580 0.580 0.359
Rb 0.631 0.631 0.839
Rb 0.785 0.785 0.375
Rb 0.981 0.981 0.224
Tl 0.500 0.500 0.000

***

Record 15
## CsRbTl4 (PBE)

Data for a relaxed structure of CsRbTl4.

Computed properties:
The final energy is -1.943 eV/atom. Its total moment is 0.00 μB/cell. The value obtained for the theoretical density is 7.40 g/cm3.

Lattice parameters (Å, degrees): 6.901 6.901 6.901 60.00 60.00 60.00
Fractional positions:
Cs 0.000 0.000 0.000
Rb 0.250 0.250 0.250
Tl 0.126 0.625 0.625
Tl 0.625 0.126 0.625
Tl 0.625 0.625 0.126
Tl 0.625 0.625 0.625

***

Record 16
## Cs2Rb2Tl3 (PBE)

Data for a relaxed structure of Cs2Rb2Tl3.

Computed properties:
The final energy is -1.588 eV/atom. Its total moment is 0.00 μB/cell. The value obtained for the theoretical density is 4.66 g/cm3.

Lattice parameters (Å, degrees): 8.200 8.200 9.149 121.75 121.75 48.05
Fractional positions:
Cs 0.172 0.172 0.053
Cs 0.828 0.828 0.947
Rb 0.152 0.152 0.517
Rb 0.848 0.848 0.483
Tl 0.473 0.473 0.810
Tl 0.500 0.500 0.500
Tl 0.527 0.527 0.190

***

Record 17
## CsRbTl3 (PBE)

Data for a relaxed structure of CsRbTl3.

Computed properties:
Its excess energy over the best structure of this formula in the dataset is 492 meV per atom. The final energy is -1.378 eV/atom. Its total moment is 0.00 μB/cell. The value obtained for the theoretical density is 4.70 g/cm3.

Lattice parameters (Å, degrees): 6.647 6.647 6.647 90.00 90.00 90.00
Fractional positions:
Cs 0.000 0.000 0.000
Rb 0.500 0.500 0.500
Tl 0.000 0.500 0.500
Tl 0.500 0.000 0.500
Tl 0.500 0.500 0.000

***

Record 18
## Cs4Rb4Tl (PBE)

Data for a relaxed structure of Cs4Rb4Tl.

Computed properties:
The final energy is -1.073 eV/atom. Its total moment is 0.00 μB/cell. The value obtained for the theoretical density is 2.21 g/cm3.

Lattice parameters (Å, degrees): 12.984 12.984 9.588 90.00 90.00 90.00
Fractional positions:
Cs 0.043 0.813 0.115
Cs 0.187 0.543 0.615
Cs 0.313 0.957 0.615
Cs 0.457 0.687 0.115
Cs 0.543 0.313 0.885
Cs 0.687 0.043 0.385
Cs 0.813 0.457 0.385
Cs 0.957 0.187 0.885
Rb 0.071 0.184 0.426
Rb 0.184 0.429 0.074
Rb 0.316 0.071 0.074
Rb 0.429 0.316 0.426
Rb 0.571 0.684 0.574
Rb 0.684 0.929 0.926
Rb 0.816 0.571 0.926
Rb 0.929 0.816 0.574
Tl 0.250 0.250 0.750
Tl 0.750 0.750 0.250

***

Record 19
## CsRb2Tl (PBE)

Data for a relaxed structure of CsRb2Tl.

Computed properties:
Its excess energy over the best structure of this formula in the dataset is 0 meV per atom. The final energy is -1.299 eV/atom. Its total moment is 0.00 μB/cell. The value obtained for the theoretical density is 2.96 g/cm3.

Lattice parameters (Å, degrees): 12.578 8.743 11.707 90.00 117.58 90.00
Fractional positions:
Cs 0.003 0.002 0.186
Cs 0.003 0.498 0.686
Cs 0.997 0.502 0.314
Cs 0.997 0.998 0.814
Rb 0.308 0.205 0.652
Rb 0.308 0.295 0.152
Rb 0.348 0.746 0.426
Rb 0.348 0.754 0.926
Rb 0.652 0.246 0.074
Rb 0.652 0.254 0.574
Rb 0.692 0.705 0.848
Rb 0.692 0.795 0.348
Tl 0.090 0.630 0.045
Tl 0.090 0.870 0.545
Tl 0.910 0.130 0.455
Tl 0.910 0.370 0.955

***

Record 20
## Cs2Rb4Tl (PBE)

Data for a relaxed structure of Cs2Rb4Tl.

Computed properties:
Its excess energy over the best structure of this formula in the dataset is 0 meV per atom. The final energy is -1.117 eV/atom. Its total moment is 0.00 μB/cell. The value obtained for the theoretical density is 2.33 g/cm3.

Lattice parameters (Å, degrees): 10.297 10.297 8.860 101.88 101.88 39.24
Fractional positions:
Cs 0.211 0.211 0.215
Cs 0.789 0.789 0.785
Rb 0.104 0.104 0.676
Rb 0.454 0.454 0.761
Rb 0.546 0.546 0.239
Rb 0.896 0.896 0.324
Tl 0.000 0.000 0.000